Entry 1:
# FePIr2 | Alexandria | PBE-GGA | relaxed
data_FePIr2
_cell_length_a 2.8077
_cell_length_b 2.8077
_cell_length_c 6.5402
_cell_angle_alpha 90.00
_cell_angle_beta 90.00
_cell_angle_gamma 90.00
_space_group_name_H-M_alt 'P 1'
_space_group_IT_number 1
loop_
_space_group_symop_operation_xyz
'x,y,z'
loop_
_atom_site_label
_atom_site_type_symbol
_atom_site_fract_x
_atom_site_fract_y
_atom_site_fract_z
_atom_site_occupancy
Fe1 Fe 0.0000 0.0000 0.0000 1
P1 P 0.5000 0.5000 0.8081 1
Ir1 Ir 0.0000 0.0000 0.5749 1
Ir2 Ir 0.5000 0.5000 0.2665 1
# Energy of formation in eV/atom: -0.05

---

Entry 2:
# NaPm2Sm3Te6 | Alexandria | PBE-GGA | relaxed
data_NaPm2Sm3Te6
_cell_length_a 9.9943
_cell_length_b 9.9943
_cell_length_c 8.9642
_cell_angle_alpha 103.03
_cell_angle_beta 103.03
_cell_angle_gamma 25.72
_space_group_name_H-M_alt 'P 1'
_space_group_IT_number 1
loop_
_space_group_symop_operation_xyz
'x,y,z'
loop_
_atom_site_label
_atom_site_type_symbol
_atom_site_fract_x
_atom_site_fract_y
_atom_site_fract_z
_atom_site_occupancy
Na1 Na 0.0000 0.0000 0.0000 1
Pm1 Pm 0.3304 0.3304 0.6582 1
Pm2 Pm 0.6696 0.6696 0.3418 1
Sm1 Sm 0.0000 0.0000 0.5000 1
Sm2 Sm 0.3345 0.3345 0.1731 1
Sm3 Sm 0.6655 0.6655 0.8269 1
Te1 Te 0.1646 0.1646 0.5846 1
Te2 Te 0.1669 0.1669 0.0817 1
Te3 Te 0.4987 0.4987 0.7502 1
Te4 Te 0.5013 0.5013 0.2498 1
Te5 Te 0.8331 0.8331 0.9183 1
Te6 Te 0.8354 0.8354 0.4154 1
# Uncorrected formation energy in meV/atom: -1384

---

Entry 3:
# TlRh2Br | Alexandria | PBE-GGA | relaxed
data_TlRh2Br
_cell_length_a 3.8000
_cell_length_b 3.1375
_cell_length_c 6.9772
_cell_angle_alpha 90.00
_cell_angle_beta 90.08
_cell_angle_gamma 90.00
_space_group_name_H-M_alt 'P 1'
_space_group_IT_number 1
loop_
_space_group_symop_operation_xyz
'x,y,z'
loop_
_atom_site_label
_atom_site_type_symbol
_atom_site_fract_x
_atom_site_fract_y
_atom_site_fract_z
_atom_site_occupancy
Tl1 Tl 0.0000 0.0000 0.0000 1
Rh1 Rh 0.4993 0.5000 0.8013 1
Rh2 Rh 0.5007 0.5000 0.1987 1
Br1 Br 0.5000 0.0000 0.5000 1
# Energy above the lowest structure with this stoichiometry in eV/atom: 0.016
# Uncorrected formation energy in meV/atom: 254

---

Entry 4:
# Pm2Co3B4 | Alexandria | PBE-GGA | relaxed
data_Pm2Co3B4
_cell_length_a 7.3436
_cell_length_b 6.5290
_cell_length_c 4.8584
_cell_angle_alpha 78.82
_cell_angle_beta 60.71
_cell_angle_gamma 40.47
_space_group_name_H-M_alt 'P 1'
_space_group_IT_number 1
loop_
_space_group_symop_operation_xyz
'x,y,z'
loop_
_atom_site_label
_atom_site_type_symbol
_atom_site_fract_x
_atom_site_fract_y
_atom_site_fract_z
_atom_site_occupancy
Pm1 Pm 0.1513 0.1513 0.8487 1
Pm2 Pm 0.8487 0.8487 0.1513 1
Co1 Co 0.0000 0.0000 0.5000 1
Co2 Co 0.5000 0.5000 0.0000 1
Co3 Co 0.5000 0.5000 0.5000 1
B1 B 0.2171 0.5499 0.4501 1
B2 B 0.4501 0.7829 0.2171 1
B3 B 0.5499 0.2171 0.7829 1
B4 B 0.7829 0.4501 0.5499 1
# Energy of formation in eV/atom: -0.01

---

Entry 5:
# Be2SnCI | Alexandria | PBE-GGA | relaxed
data_Be2SnCI
_cell_length_a 4.7908
_cell_length_b 4.7908
_cell_length_c 4.2622
_cell_angle_alpha 90.00
_cell_angle_beta 90.00
_cell_angle_gamma 90.00
_space_group_name_H-M_alt 'P 1'
_space_group_IT_number 1
loop_
_space_group_symop_operation_xyz
'x,y,z'
loop_
_atom_site_label
_atom_site_type_symbol
_atom_site_fract_x
_atom_site_fract_y
_atom_site_fract_z
_atom_site_occupancy
Be1 Be 0.0000 0.5000 0.0000 1
Be2 Be 0.5000 0.0000 0.0000 1
Sn1 Sn 0.0000 0.0000 0.5000 1
C1 C 0.5000 0.5000 0.5000 1
I1 I 0.5000 0.5000 0.0000 1
# Uncorrected formation energy in meV/atom: 2044

---

Entry 6:
# Ba3NaAc2Te6 | Alexandria | PBE-GGA | relaxed
data_Ba3NaAc2Te6
_cell_length_a 8.4054
_cell_length_b 8.4054
_cell_length_c 8.4484
_cell_angle_alpha 99.53
_cell_angle_beta 99.53
_cell_angle_gamma 119.99
_space_group_name_H-M_alt 'P 1'
_space_group_IT_number 1
loop_
_space_group_symop_operation_xyz
'x,y,z'
loop_
_atom_site_label
_atom_site_type_symbol
_atom_site_fract_x
_atom_site_fract_y
_atom_site_fract_z
_atom_site_occupancy
Ba1 Ba 0.0000 0.0000 0.0000 1
Ba2 Ba 0.3349 0.6651 0.0000 1
Ba3 Ba 0.6651 0.3349 0.0000 1
Na1 Na 0.5000 0.5000 0.5000 1
Ac1 Ac 0.1670 0.8330 0.5000 1
Ac2 Ac 0.8330 0.1670 0.5000 1
Te1 Te 0.0860 0.4216 0.2652 1
Te2 Te 0.2424 0.2424 0.7330 1
Te3 Te 0.4216 0.0860 0.2652 1
Te4 Te 0.5784 0.9140 0.7348 1
Te5 Te 0.7576 0.7576 0.2670 1
Te6 Te 0.9140 0.5784 0.7348 1
# Uncorrected formation energy in meV/atom: -1602

---

Entry 7:
# LaMg2GeN | Alexandria | PBE-GGA | relaxed
data_LaMg2GeN
_cell_length_a 6.5887
_cell_length_b 6.5887
_cell_length_c 7.7206
_cell_angle_alpha 90.00
_cell_angle_beta 90.00
_cell_angle_gamma 145.13
_space_group_name_H-M_alt 'P 1'
_space_group_IT_number 1
loop_
_space_group_symop_operation_xyz
'x,y,z'
loop_
_atom_site_label
_atom_site_type_symbol
_atom_site_fract_x
_atom_site_fract_y
_atom_site_fract_z
_atom_site_occupancy
La1 La 0.0351 0.9649 0.7500 1
La2 La 0.9649 0.0351 0.2500 1
Mg1 Mg 0.3408 0.6592 0.5530 1
Mg2 Mg 0.3408 0.6592 0.9470 1
Mg3 Mg 0.6592 0.3408 0.0530 1
Mg4 Mg 0.6592 0.3408 0.4470 1
Ge1 Ge 0.2363 0.7637 0.2500 1
Ge2 Ge 0.7637 0.2363 0.7500 1
N1 N 0.5000 0.5000 0.0000 1
N2 N 0.5000 0.5000 0.5000 1
# Energy above the lowest structure with this stoichiometry in eV/atom: 0.000
# Uncorrected formation energy in meV/atom: -694

---

Entry 8:
# ErTm3Hf2N6 | Alexandria | PBE-GGA | relaxed
data_ErTm3Hf2N6
_cell_length_a 7.4429
_cell_length_b 7.4429
_cell_length_c 6.6768
_cell_angle_alpha 103.09
_cell_angle_beta 103.09
_cell_angle_gamma 25.80
_space_group_name_H-M_alt 'P 1'
_space_group_IT_number 1
loop_
_space_group_symop_operation_xyz
'x,y,z'
loop_
_atom_site_label
_atom_site_type_symbol
_atom_site_fract_x
_atom_site_fract_y
_atom_site_fract_z
_atom_site_occupancy
Er1 Er 0.0000 0.0000 0.0000 1
Tm1 Tm 0.0000 0.0000 0.5000 1
Tm2 Tm 0.3336 0.3336 0.1669 1
Tm3 Tm 0.6664 0.6664 0.8331 1
Hf1 Hf 0.3331 0.3331 0.6660 1
Hf2 Hf 0.6669 0.6669 0.3340 1
N1 N 0.1684 0.1684 0.0988 1
N2 N 0.1712 0.1712 0.5735 1
N3 N 0.4932 0.4932 0.7444 1
N4 N 0.5068 0.5068 0.2556 1
N5 N 0.8288 0.8288 0.4265 1
N6 N 0.8316 0.8316 0.9012 1
# Uncorrected formation energy in meV/atom: -1842

---

Entry 9:
# Ta2AgCl | Alexandria | PBE-GGA | relaxed
data_Ta2AgCl
_cell_length_a 5.5067
_cell_length_b 5.5067
_cell_length_c 5.5067
_cell_angle_alpha 137.72
_cell_angle_beta 137.72
_cell_angle_gamma 61.33
_space_group_name_H-M_alt 'P 1'
_space_group_IT_number 1
loop_
_space_group_symop_operation_xyz
'x,y,z'
loop_
_atom_site_label
_atom_site_type_symbol
_atom_site_fract_x
_atom_site_fract_y
_atom_site_fract_z
_atom_site_occupancy
Ta1 Ta 0.2500 0.7500 0.5000 1
Ta2 Ta 0.7500 0.2500 0.5000 1
Ag1 Ag 0.0000 0.0000 0.0000 1
Cl1 Cl 0.5000 0.5000 0.0000 1
# Energy above the lowest structure with this stoichiometry in eV/atom: 0.889
# Uncorrected formation energy in meV/atom: 837

---

Entry 10:
# Ag4Ir | Alexandria | PBE-GGA | relaxed
data_Ag4Ir
_cell_length_a 7.4657
_cell_length_b 7.4657
_cell_length_c 7.4657
_cell_angle_alpha 151.34
_cell_angle_beta 151.34
_cell_angle_gamma 40.98
_space_group_name_H-M_alt 'P 1'
_space_group_IT_number 1
loop_
_space_group_symop_operation_xyz
'x,y,z'
loop_
_atom_site_label
_atom_site_type_symbol
_atom_site_fract_x
_atom_site_fract_y
_atom_site_fract_z
_atom_site_occupancy
Ag1 Ag 0.0942 0.0942 0.0000 1
Ag2 Ag 0.2500 0.7500 0.5000 1
Ag3 Ag 0.7500 0.2500 0.5000 1
Ag4 Ag 0.9058 0.9058 0.0000 1
Ir1 Ir 0.5000 0.5000 0.0000 1
# Energy of formation in eV/atom: 0.77
# Energy above the lowest structure with this stoichiometry in eV/atom: 0.424

---

Entry 11:
# Ho2USe4 | Alexandria | PBE-GGA | relaxed
data_Ho2USe4
_cell_length_a 6.9955
_cell_length_b 6.9955
_cell_length_c 13.6717
_cell_angle_alpha 90.00
_cell_angle_beta 90.00
_cell_angle_gamma 146.84
_space_group_name_H-M_alt 'P 1'
_space_group_IT_number 1
loop_
_space_group_symop_operation_xyz
'x,y,z'
loop_
_atom_site_label
_atom_site_type_symbol
_atom_site_fract_x
_atom_site_fract_y
_atom_site_fract_z
_atom_site_occupancy
Ho1 Ho 0.1332 0.8668 0.5664 1
Ho2 Ho 0.1332 0.8668 0.9336 1
Ho3 Ho 0.8668 0.1332 0.0664 1
Ho4 Ho 0.8668 0.1332 0.4336 1
U1 U 0.3801 0.6199 0.7500 1
U2 U 0.6199 0.3801 0.2500 1
Se1 Se 0.0386 0.9614 0.7500 1
Se2 Se 0.2264 0.7736 0.1236 1
Se3 Se 0.2264 0.7736 0.3764 1
Se4 Se 0.5000 0.5000 0.0000 1
Se5 Se 0.5000 0.5000 0.5000 1
Se6 Se 0.7736 0.2264 0.6236 1
Se7 Se 0.7736 0.2264 0.8764 1
Se8 Se 0.9614 0.0386 0.2500 1
# Uncorrected formation energy in meV/atom: -1551

---

Entry 12:
# Na3Hg2Au2 | Alexandria | PBE-GGA | relaxed
data_Na3Hg2Au2
_cell_length_a 10.7243
_cell_length_b 10.7243
_cell_length_c 3.5971
_cell_angle_alpha 90.00
_cell_angle_beta 90.00
_cell_angle_gamma 156.62
_space_group_name_H-M_alt 'P 1'
_space_group_IT_number 1
loop_
_space_group_symop_operation_xyz
'x,y,z'
loop_
_atom_site_label
_atom_site_type_symbol
_atom_site_fract_x
_atom_site_fract_y
_atom_site_fract_z
_atom_site_occupancy
Na1 Na 0.0000 0.0000 0.0000 1
Na2 Na 0.1435 0.8565 0.0000 1
Na3 Na 0.8565 0.1435 0.0000 1
Hg1 Hg 0.2964 0.7036 0.5000 1
Hg2 Hg 0.7036 0.2964 0.5000 1
Au1 Au 0.4332 0.5668 0.5000 1
Au2 Au 0.5668 0.4332 0.5000 1
# Energy of formation in eV/atom: -0.24

---

no.,magnetic moment (μB per atom),DOS(E_F) (states/eV/atom)
1,0.506,1.0119
2,0.000,0.3729
3,0.000,0.9325
4,0.000,0.6958
5,0.000,0.6293
6,0.000,0.3234
7,0.000,0.1345
8,0.000,0.2116
9,0.000,0.8401
10,0.178,0.9900
11,0.471,0.9184
12,0.000,0.3157